Ac2Pm3Ag2 | Alexandria via LeMat-Bulk | PBE | optimized geometry; formation energy from the elements = -2.77 kcal/mol of atoms; space group = C2/m, No. 12; ΔE to the lowest computed polymorph = 0 meV/atom; uncorrected energy = -29.01 eV/cell
1.0
6.6154 -1.9861 0.0000
6.6154 1.9861 0.0000
-4.3139 0.0000 8.8157
Ac Pm Ag
2 3 2
Direct
0.1490 0.1490 0.3088 Ac
0.8510 0.8510 0.6912 Ac
0.3831 0.3831 0.0496 Pm
0.5000 0.5000 0.5000 Pm
0.6169 0.6169 0.9504 Pm
0.1602 0.1602 0.7324 Ag
0.8398 0.8398 0.2676 Ag


Y3TaAs | Alexandria via LeMat-Bulk | PBE | optimized geometry; formation energy from the elements = 13.84 kcal/mol of atoms; space group = Pm-3m, No. 221; ΔE to the lowest computed polymorph = 335 meV/atom; uncorrected energy = -32.89 eV/cell
1.0
5.3902 0.0000 0.0000
0.0000 5.3902 0.0000
0.0000 0.0000 5.3902
Y Ta As
3 1 1
Direct
0.0000 0.0000 0.5000 Y
0.0000 0.5000 0.0000 Y
0.5000 0.0000 0.0000 Y
0.0000 0.0000 0.0000 Ta
0.5000 0.5000 0.5000 As


Pa12GaTc7 | Alexandria via LeMat-Bulk | PBE | optimized geometry; formation energy from the elements = 3.49 kcal/mol of atoms; space group = Im-3, No. 204; uncorrected energy = -186.51 eV/cell
1.0
-5.0277 5.0277 5.0277
5.0277 -5.0277 5.0277
5.0277 5.0277 -5.0277
Pa Ga Tc
12 1 7
Direct
0.1261 0.3162 0.8098 Pa
0.1902 0.5064 0.3162 Pa
0.1902 0.8739 0.6838 Pa
0.3162 0.1902 0.5064 Pa
0.3162 0.8098 0.1261 Pa
0.4936 0.6838 0.8098 Pa
0.5064 0.3162 0.1902 Pa
0.6838 0.1902 0.8739 Pa
0.6838 0.8098 0.4936 Pa
0.8098 0.1261 0.3162 Pa
0.8098 0.4936 0.6838 Pa
0.8739 0.6838 0.1902 Pa
0.0000 0.0000 0.0000 Ga
0.0000 0.0000 0.5000 Tc
0.0000 0.5000 0.0000 Tc
0.0000 0.5000 0.5000 Tc
0.5000 0.0000 0.0000 Tc
0.5000 0.0000 0.5000 Tc
0.5000 0.5000 0.0000 Tc
0.5000 0.5000 0.5000 Tc


Hf2SiBi | Alexandria via LeMat-Bulk | PBE | optimized geometry; energy relative to the elements, uncorrected = 0.10 eV/f.u.; space group = Fm-3m, No. 225; ΔE to the lowest computed polymorph = 0 meV/atom; uncorrected energy = -29.11 eV/cell
1.0
0.0000 3.4785 3.4785
3.4785 0.0000 3.4785
3.4785 3.4785 0.0000
Hf Si Bi
2 1 1
Direct
0.2500 0.2500 0.2500 Hf
0.7500 0.7500 0.7500 Hf
0.0000 0.0000 0.0000 Si
0.5000 0.5000 0.5000 Bi


Which formula does entry 4 have?
Hf2SiBi


Which value of uncorrected energy does entry 3 give?
-186.51 eV/cell


Among the records above, which one has the lowest uncorrected energy?
Pa12GaTc7